Density functional theory data (PBE-GGA) for a geometry-optimized AcNF structure.

## Properties
Uncorrected formation energy (eV/atom): -2.370
Calculated density (Mg/m³): 8.442
Magnetic moment (μB/f.u.): 0.0
Calculated total energy (eV for the cell shown): -42.83

The structure in extended XYZ format:
```
6
Lattice="3.781 -1.967 0.000 3.781 1.967 0.000 -0.757 0.000 6.876" Properties=species:S:1:pos:R:3 pbc="T T T"
Ac 0.966 0.000 1.473
Ac 5.840 0.000 5.403
N 3.227 0.000 0.477
N 3.579 0.000 6.399
F 0.862 0.000 4.181
F 5.944 0.000 2.695
```